(1)
First-principles (meta-GGA SCAN) data for a crystal of Ba4LaTi4CrO15 relaxed with PBEsol, as listed in the Alexandria database.

Structure (extended XYZ):
```
25
Lattice="2.8017 -13.9463 0.0000 2.8017 13.9463 0.0000 0.0000 0.0000 3.9609" Properties=species:S:1:pos:R:3 pbc="T T T"
Ba 2.8017 11.2097 0.0000
Ba 2.8017 5.5603 0.0000
Ba 2.8017 -5.5603 0.0000
Ba 2.8017 -11.2097 0.0000
La 2.8017 0.0000 0.0000
Ti 2.8017 8.3849 1.9804
Ti 2.8017 2.7253 1.9804
Ti 2.8017 -2.7253 1.9804
Ti 2.8017 -8.3849 1.9804
Cr 0.0000 0.0000 1.9804
O 0.0000 0.0000 0.0000
O 1.4009 6.9731 1.9804
O 1.4035 4.1421 1.9804
O 2.8017 8.3831 0.0000
O 1.4643 1.3064 1.9804
O 1.4643 -1.3064 1.9804
O 1.4035 -4.1421 1.9804
O 2.8017 2.6425 0.0000
O 1.4009 -6.9731 1.9804
O 2.8017 -2.6425 0.0000
O 4.2000 4.1421 1.9804
O 4.1391 1.3064 1.9804
O 4.1391 -1.3064 1.9804
O 2.8017 -8.3831 0.0000
O 4.2000 -4.1421 1.9804
```

## Properties
Space group: Cmmm (65)

=====

(2)
First-principles (meta-GGA SCAN) data for a crystal of BaLaTiCrO6 relaxed with PBEsol, as listed in the Alexandria database.

Structure (extended XYZ):
```
10
Lattice="0.0000 3.9111 3.9111 3.9111 0.0000 3.9111 3.9111 3.9111 0.0000" Properties=species:S:1:pos:R:3 pbc="T T T"
Ba 0.0000 0.0000 0.0000
La 3.9111 3.9111 3.9111
Ti 5.8666 5.8666 5.8666
Cr 1.9555 1.9555 1.9555
O 1.9555 1.9555 0.0001
O 1.9555 0.0001 1.9555
O 3.9110 1.9555 1.9555
O 0.0001 1.9555 1.9555
O 1.9555 3.9110 1.9555
O 1.9555 1.9555 3.9110
```

## Properties
Space group: F-43m (216)

=====

(3)
First-principles (meta-GGA SCAN) data for a crystal of BaLa2TiCr2O9 relaxed with PBEsol, as listed in the Alexandria database.

Structure (extended XYZ):
```
15
Lattice="2.7622 -8.2208 0.0000 2.7622 8.2208 0.0000 0.0000 0.0000 3.8939" Properties=species:S:1:pos:R:3 pbc="T T T"
Ba 0.0000 0.0000 0.0000
La 2.7622 2.8304 0.0000
La 2.7622 -2.8304 0.0000
Ti 2.7622 0.0000 1.9469
Cr 2.7622 5.4906 1.9469
Cr 2.7622 -5.4906 1.9469
O 1.3811 4.1104 1.9469
O 1.4391 1.4361 1.9469
O 2.7622 5.3214 0.0000
O 1.4391 -1.4361 1.9469
O 1.3811 -4.1104 1.9469
O 2.7622 0.0000 0.0000
O 4.0852 1.4361 1.9469
O 2.7622 -5.3214 0.0000
O 4.0852 -1.4361 1.9469
```

## Properties
Space group: Cmmm (65)

=====

(4)
First-principles (meta-GGA SCAN) data for a crystal of Ba2La3Ti2Cr3O15 relaxed with PBEsol, as listed in the Alexandria database.

Structure (extended XYZ):
```
25
Lattice="2.7674 -13.7243 0.0000 2.7674 13.7243 0.0000 0.0000 0.0000 3.9027" Properties=species:S:1:pos:R:3 pbc="T T T"
Ba 2.7674 8.2871 0.0000
Ba 2.7674 -8.2871 0.0000
La 0.0000 0.0000 0.0000
La 2.7674 2.6450 0.0000
La 2.7674 -2.6450 0.0000
Ti 2.7674 5.4357 1.9513
Ti 2.7674 -5.4357 1.9513
Cr 2.7674 11.0080 1.9513
Cr 2.7674 0.0000 1.9513
Cr 2.7674 -11.0080 1.9513
O 1.3837 6.8621 1.9513
O 2.7674 11.1690 0.0000
O 1.4414 3.9997 1.9513
O 1.3894 1.3468 1.9513
O 1.3894 -1.3468 1.9513
O 2.7674 5.3643 0.0000
O 1.4414 -3.9997 1.9513
O 1.3837 -6.8621 1.9513
O 2.7674 0.0000 0.0000
O 4.0934 3.9997 1.9513
O 2.7674 -5.3643 0.0000
O 4.1454 1.3468 1.9513
O 4.1454 -1.3468 1.9513
O 4.0934 -3.9997 1.9513
O 2.7674 -11.1690 0.0000
```

## Properties
Space group: Cmmm (65)

=====

(5)
First-principles (meta-GGA SCAN) data for a crystal of BaLiCr2 relaxed with PBEsol, as listed in the Alexandria database.

Structure (extended XYZ):
```
4
Lattice="1.6470 0.9509 10.1638 -1.6470 0.9509 10.1638 0.0000 -1.9018 10.1638" Properties=species:S:1:pos:R:3 pbc="T T T"
Ba 0.0000 0.0000 0.0000
Li 0.0000 0.0000 15.2458
Cr 0.0000 0.0000 7.2912
Cr 0.0000 0.0000 23.2003
```

## Properties
Excess energy over the best structure of this formula in the dataset, eV per atom: 0.367
Space group: R-3m (166)
Formation energy from the elements, eV/atom: 0.814

=====

(6)
First-principles (meta-GGA SCAN) data for a crystal of BaLiCr2 relaxed with PBEsol, as listed in the Alexandria database.

Structure (extended XYZ):
```
4
Lattice="3.6079 0.0000 0.0000 0.0000 3.6220 0.0000 0.0000 0.0000 7.6747" Properties=species:S:1:pos:R:3 pbc="T T T"
Ba 0.0000 0.0000 0.0000
Li 0.0000 0.0000 3.8374
Cr 1.8040 1.8110 2.3986
Cr 1.8040 1.8110 5.2761
```

## Properties
Excess energy over the best structure of this formula in the dataset, eV per atom: 0.171
Space group: Pmmm (47)
Formation energy from the elements, eV/atom: 0.618

=====

(7)
First-principles (meta-GGA SCAN) data for a crystal of Ba2LiCr relaxed with PBEsol, as listed in the Alexandria database.

Structure (extended XYZ):
```
4
Lattice="3.9606 0.0000 0.0000 0.0000 3.9606 0.0000 0.0000 0.0000 9.1246" Properties=species:S:1:pos:R:3 pbc="T T T"
Ba 0.0000 0.0000 0.0000
Ba 1.9803 1.9803 3.4913
Li 1.9803 1.9803 6.7852
Cr 0.0000 0.0000 5.7300
```

## Properties
Space group: P4mm (99)
Formation energy from the elements, eV/atom: 0.288

=====

(8)
First-principles (meta-GGA SCAN) data for a crystal of BaLiCr2 relaxed with PBEsol, as listed in the Alexandria database.

Structure (extended XYZ):
```
4
Lattice="3.1828 0.0000 0.0000 0.0000 3.1828 0.0000 0.0000 0.0000 8.3421" Properties=species:S:1:pos:R:3 pbc="T T T"
Ba 0.0000 0.0000 0.0000
Li 1.5914 1.5914 5.3455
Cr 0.0000 0.0000 3.5120
Cr 1.5914 1.5914 2.6532
```

## Properties
Excess energy over the best structure of this formula in the dataset, eV per atom: 0.000
Space group: P4mm (99)
Formation energy from the elements, eV/atom: 0.447

=====

(9)
First-principles (meta-GGA SCAN) data for a crystal of Ba2MgCrP relaxed with PBEsol, as listed in the Alexandria database.

Structure (extended XYZ):
```
5
Lattice="6.2726 0.0000 0.0000 0.0000 6.2726 0.0000 0.0000 0.0000 4.4713" Properties=species:S:1:pos:R:3 pbc="T T T"
Ba 0.0000 3.1363 0.0000
Ba 3.1363 0.0000 0.0000
Mg 0.0000 0.0000 2.2357
Cr 3.1363 3.1363 2.2357
P 3.1363 3.1363 0.0000
```

## Properties
Space group: P4/mmm (123)
Formation energy from the elements, eV/atom: -0.297

=====

(10)
First-principles (meta-GGA SCAN) data for a crystal of BaCrMo2 relaxed with PBEsol, as listed in the Alexandria database.

Structure (extended XYZ):
```
4
Lattice="4.0275 -1.9076 0.0000 4.0275 1.9076 0.0000 -2.5003 0.0000 6.1630" Properties=species:S:1:pos:R:3 pbc="T T T"
Ba 0.0000 0.0000 0.0000
Cr 2.7773 0.0000 3.0815
Mo 0.0447 0.0000 3.5660
Mo 5.5100 0.0000 2.5970
```

## Properties
Excess energy over the best structure of this formula in the dataset, eV per atom: 0.000
Space group: C2/m (12)
Formation energy from the elements, eV/atom: 0.869

=====

(11)
First-principles (meta-GGA SCAN) data for a crystal of BaCrMo2 relaxed with PBEsol, as listed in the Alexandria database.

Structure (extended XYZ):
```
4
Lattice="1.5209 0.8781 9.4159 -1.5209 0.8781 9.4159 0.0000 -1.7562 9.4159" Properties=species:S:1:pos:R:3 pbc="T T T"
Ba 0.0000 0.0000 0.0000
Cr 0.0000 0.0000 14.1239
Mo 0.0000 0.0000 6.4483
Mo 0.0000 0.0000 21.7995
```

## Properties
Excess energy over the best structure of this formula in the dataset, eV per atom: 0.279
Space group: R-3m (166)
Formation energy from the elements, eV/atom: 1.148

=====

(12)
First-principles (meta-GGA SCAN) data for a crystal of Ba4CrMo relaxed with PBEsol, as listed in the Alexandria database.

Structure (extended XYZ):
```
6
Lattice="0.0000 4.9131 4.9131 4.9131 0.0000 4.9131 4.9131 4.9131 0.0000" Properties=species:S:1:pos:R:3 pbc="T T T"
Ba 1.2266 1.2266 1.2266
Ba 3.6866 3.6866 1.2266
Ba 3.6866 1.2266 3.6866
Ba 1.2266 3.6866 3.6866
Cr 4.9131 4.9131 4.9131
Mo 7.3697 7.3697 7.3697
```

## Properties
Space group: F-43m (216)
Formation energy from the elements, eV/atom: 1.223

=====

(13)
First-principles (meta-GGA SCAN) data for a crystal of BaCrMo relaxed with PBEsol, as listed in the Alexandria database.

Structure (extended XYZ):
```
3
Lattice="3.1875 0.0000 0.0000 -1.5937 2.7604 0.0000 0.0000 0.0000 7.2823" Properties=species:S:1:pos:R:3 pbc="T T T"
Ba 0.0000 0.0000 0.0000
Cr 0.0000 1.8403 4.4259
Mo 1.5937 0.9201 2.9763
```

## Properties
Space group: P3m1 (156)
Formation energy from the elements, eV/atom: 1.185

=====

(14)
First-principles (meta-GGA SCAN) data for a crystal of BaCr3Mo relaxed with PBEsol, as listed in the Alexandria database.

Structure (extended XYZ):
```
5
Lattice="4.7732 0.0000 0.0000 0.0000 4.7732 0.0000 0.0000 0.0000 4.7732" Properties=species:S:1:pos:R:3 pbc="T T T"
Ba 0.0000 0.0000 0.0000
Cr 0.0000 0.0000 2.3866
Cr 0.0000 2.3866 0.0000
Cr 2.3866 0.0000 0.0000
Mo 2.3866 2.3866 2.3866
```

## Properties
Space group: Pm-3m (221)
Formation energy from the elements, eV/atom: 2.610

=====

(15)
First-principles (meta-GGA SCAN) data for a crystal of BaCrMo2N relaxed with PBEsol, as listed in the Alexandria database.

Structure (extended XYZ):
```
5
Lattice="4.0764 0.0000 0.0000 0.0000 4.0764 0.0000 0.0000 0.0000 5.3513" Properties=species:S:1:pos:R:3 pbc="T T T"
Ba 0.0000 0.0000 0.0000
Cr 2.0382 2.0382 0.0000
Mo 0.0000 2.0382 2.6756
Mo 2.0382 0.0000 2.6756
N 0.0000 0.0000 2.6756
```

## Properties
Space group: P4/mmm (123)

=====

(16)
First-principles (meta-GGA SCAN) data for a crystal of Ba4Cr2MoWO12 relaxed with PBEsol, as listed in the Alexandria database.

Structure (extended XYZ):
```
20
Lattice="2.8121 1.6236 9.1867 -2.8121 1.6236 9.1867 0.0000 -3.2471 9.1867" Properties=species:S:1:pos:R:3 pbc="T T T"
Ba 0.0000 0.0000 3.4132
Ba 0.0000 0.0000 10.3045
Ba 0.0000 0.0000 17.2556
Ba 0.0000 0.0000 24.1469
Cr 0.0000 0.0000 6.9247
Cr 0.0000 0.0000 20.6354
Mo 0.0000 0.0000 0.0000
W 0.0000 0.0000 13.7800
O 0.0000 -1.6205 8.0307
O -1.4034 0.8103 8.0307
O -1.3848 -0.7995 12.6535
O -1.4034 -0.8103 19.5294
O 0.0000 -1.5990 14.9066
O -1.3848 0.7995 14.9066
O 1.3848 -0.7995 12.6535
O 0.0000 1.5990 12.6535
O 1.4034 0.8103 8.0307
O 1.3848 0.7995 14.9066
O 1.4034 -0.8103 19.5294
O 0.0000 1.6205 19.5294
```

## Properties
Space group: R-3m (166)

=====

(17)
First-principles (meta-GGA SCAN) data for a crystal of Ba5CrN5 relaxed with PBEsol, as listed in the Alexandria database.

Structure (extended XYZ):
```
22
Lattice="5.2554 -5.8462 0.0000 5.2554 5.8462 0.0000 -3.3421 0.0000 8.7427" Properties=species:S:1:pos:R:3 pbc="T T T"
Ba 0.1080 0.0000 1.7511
Ba 2.6425 2.7490 2.1258
Ba 3.5217 0.0000 0.0535
Ba 2.0055 0.0000 5.3870
Ba 4.5261 2.7490 6.6168
Ba 2.6425 -2.7490 2.1258
Ba 5.1632 0.0000 3.3556
Ba 3.6470 0.0000 8.6892
Ba 4.5261 -2.7490 6.6168
Ba 7.0607 0.0000 6.9916
Cr 5.2554 3.0094 0.0000
Cr 5.2554 -3.0094 0.0000
N 3.8612 4.0548 0.0639
N 1.8441 2.0051 7.3235
N 3.3075 4.0548 8.6788
N 2.6318 0.0000 2.7155
N 5.3245 2.0051 1.4192
N 1.8441 -2.0051 7.3235
N 4.5368 0.0000 6.0272
N 3.8612 -4.0548 0.0639
N 5.3245 -2.0051 1.4192
N 3.3075 -4.0548 8.6788
```

## Properties
Space group: C2/m (12)

=====

(18)
First-principles (meta-GGA SCAN) data for a crystal of Ba2CrN3 relaxed with PBEsol, as listed in the Alexandria database.

Structure (extended XYZ):
```
24
Lattice="2.8829 -5.7560 0.0000 2.8829 5.7560 0.0000 0.0000 0.0000 12.7861" Properties=species:S:1:pos:R:3 pbc="T T T"
Ba 2.8829 5.0516 10.9948
Ba 2.8829 4.1020 5.3329
Ba 2.8829 1.6539 11.7260
Ba 2.8829 0.7044 4.6017
Ba 2.8829 -0.7044 8.1844
Ba 2.8829 -1.6539 1.0601
Ba 2.8829 -4.1020 7.4532
Ba 2.8829 -5.0516 1.7914
Cr 2.8829 3.0081 8.5316
Cr 2.8829 2.7478 2.1386
Cr 2.8829 -2.7478 10.6476
Cr 2.8829 -3.0081 4.2545
N 1.4415 2.7199 9.5896
N 2.8829 4.6713 8.0619
N 2.8829 3.8173 0.7595
N 2.8829 1.9387 7.1526
N 2.8829 1.0847 1.6688
N 1.4415 -2.7199 3.1965
N 4.3244 2.7199 9.5896
N 2.8829 -1.0847 11.1173
N 2.8829 -1.9387 5.6335
N 2.8829 -3.8173 12.0266
N 2.8829 -4.6713 4.7243
N 4.3244 -2.7199 3.1965
```

## Properties
Space group: Cmce (64)

=====

(19)
First-principles (meta-GGA SCAN) data for a crystal of Ba2NbCrO6 relaxed with PBEsol, as listed in the Alexandria database.

Structure (extended XYZ):
```
40
Lattice="5.7324 0.0000 0.0000 -2.8662 4.9644 0.0000 0.0000 0.0000 18.8116" Properties=species:S:1:pos:R:3 pbc="T T T"
Ba 0.0000 0.0000 0.0000
Ba 0.0000 0.0000 9.4058
Ba 0.0000 3.3096 2.6524
Ba 0.0000 3.3096 6.7534
Ba 0.0000 3.3096 14.1087
Ba 2.8662 1.6548 4.7029
Ba 2.8662 1.6548 12.0582
Ba 2.8662 1.6548 16.1592
Nb 0.0000 3.3096 10.6234
Nb 0.0000 3.3096 17.5940
Nb 2.8662 1.6548 1.2176
Nb 2.8662 1.6548 8.1882
Cr 0.0000 0.0000 3.4154
Cr 0.0000 0.0000 5.9904
Cr 0.0000 0.0000 12.8211
Cr 0.0000 0.0000 15.3962
O -1.4331 2.4822 0.0000
O -1.4331 2.4822 9.4058
O 0.0000 1.4736 4.7029
O -1.5900 4.2276 4.7029
O 0.0000 1.6580 11.7133
O 0.0000 1.6580 16.5040
O -1.4303 4.1354 11.7133
O -1.4303 4.1354 16.5040
O 1.2762 0.7368 14.1087
O 1.4359 0.8290 2.3075
O 1.4359 0.8290 7.0983
O 2.8662 0.0000 0.0000
O 2.8662 0.0000 9.4058
O 1.4331 2.4822 0.0000
O 1.4331 2.4822 9.4058
O 1.4303 4.1354 11.7133
O 1.4303 4.1354 16.5040
O 1.5900 4.2276 4.7029
O 4.2965 0.8290 2.3075
O 4.2965 0.8290 7.0983
O 2.8662 3.3064 2.3075
O 2.8662 3.3064 7.0983
O 4.4562 0.7368 14.1087
O 2.8662 3.4908 14.1087
```

## Properties
Space group: P6_3/mmc (194)

=====

(20)
First-principles (meta-GGA SCAN) data for a crystal of Ba2ZnCrNi relaxed with PBEsol, as listed in the Alexandria database.

Structure (extended XYZ):
```
5
Lattice="5.7706 0.0000 0.0000 0.0000 5.7706 0.0000 0.0000 0.0000 4.6336" Properties=species:S:1:pos:R:3 pbc="T T T"
Ba 0.0000 2.8853 0.0000
Ba 2.8853 0.0000 0.0000
Zn 0.0000 0.0000 2.3168
Cr 2.8853 2.8853 2.3168
Ni 0.0000 0.0000 0.0000
```

## Properties
Space group: P4/mmm (123)
Formation energy from the elements, eV/atom: 0.276

=====

no.,calculated total energy (eV for the cell shown),M_tot (μB per formula unit)
1,-461.16,3.001
2,-187.41,3.000
3,-284.03,6.000
4,-471.44,9.002
5,-75.45,8.681
6,-76.24,9.730
7,-98.72,4.470
8,-76.92,0.008
9,-114.34,3.087
10,-124.23,0.001
11,-123.11,0.001
12,-204.13,8.696
13,-89.27,0.000
14,-116.54,6.282
15,-134.29,3.982
16,-429.67,4.000
17,-545.39,0.000
18,-525.80,0.655
19,-792.37,3.000
20,-125.80,5.485